Below is a geometry-optimized Cr2SiMo structure, with properties calculated at the GGA-PBE level. Values from VASP.

## Properties
The calculation puts the uncorrected formation energy at -0.07 eV per atom. The space group is F-43m (216). For the total DFT energy (no corrections), the calculation gives -35.787 eV for the cell shown. The magnetic moment comes out at 0.77 μB per formula unit.

Quantum ESPRESSO input file:
```
&SYSTEM
  ibrav = 0, nat = 4, ntyp = 3
/
ATOMIC_SPECIES
Si 28.09 Si.upf
Mo 95.94 Mo.upf
Cr 52.00 Cr.upf
CELL_PARAMETERS angstrom
-2.106 3.600 0.111
-4.047 0.019 1.013
-1.227 1.587 3.658
ATOMIC_POSITIONS crystal
Si 0.750 0.750 0.750
Mo 0.500 0.500 0.500
Cr 0.000 0.000 0.000
Cr 0.250 0.250 0.250
```